A geometry-optimized KMnNiF6 structure. Source: Alexandria via LeMat-Bulk, functional PBE with a Hubbard U.

Properties
Space group ... C2, No. 5
E_tot ... -4.965 eV per atom
Crystal system ... monoclinic

The structure in POSCAR format:
```
KMnNiF6
1.0
5.442 0.000 0.018
2.719 4.560 0.014
0.080 -0.003 5.718
K Mn Ni F
1 1 1 6
Direct
0.001 0.997 0.000
0.335 0.330 0.500
0.673 0.654 0.500
0.995 0.376 0.297
0.367 0.015 0.688
0.629 0.376 0.703
0.016 0.617 0.682
0.366 0.618 0.318
0.617 0.016 0.312
```